! Tc2AuBr, relaxed, DFT PBE; values from VASP
&SYSTEM
  ibrav = 0, nat = 4, ntyp = 3
/
ATOMIC_SPECIES
Br 79.90 Br.upf
Tc 98.00 Tc.upf
Au 196.97 Au.upf
ATOMIC_POSITIONS angstrom
Br 1.565 1.565 4.935
Tc 0.000 0.000 6.527
Tc 0.000 0.000 3.343
Au 1.565 1.565 1.645
CELL_PARAMETERS angstrom
3.130 0.000 0.000
0.000 3.130 0.000
0.000 0.000 6.580
! - DOS(E_F) (states/eV per cell) = 4.29
! - formation energy without anion corrections (eV per atom) = 0.87
! - energy relative to the lowest polymorph listed for this composition (meV/atom) = 589.2

! BaLiTlI4, relaxed, DFT PBE; values from VASP
&SYSTEM
  ibrav = 0, nat = 14, ntyp = 4
/
ATOMIC_SPECIES
I 126.90 I.upf
Tl 204.38 Tl.upf
Ba 137.33 Ba.upf
Li 6.94 Li.upf
ATOMIC_POSITIONS angstrom
I 6.746 -5.346 -6.507
I 2.020 -4.978 0.852
I 6.555 -5.415 0.902
I -0.670 -6.231 4.292
I 4.057 -6.599 -3.067
I -0.478 -6.163 -3.118
I -0.851 -8.495 1.002
I 6.928 -3.082 -3.217
Tl 6.406 -8.818 -1.670
Tl -0.329 -2.759 -0.545
Ba 1.542 -8.516 -1.610
Ba 4.534 -3.062 -0.605
Li 4.183 -6.445 1.742
Li 1.894 -5.132 -3.958
CELL_PARAMETERS angstrom
-3.148 -5.991 4.296
-0.368 -4.588 -6.668
9.593 -0.999 0.158
! - DOS(E_F) (states/eV per cell) = 0.00
! - formation energy without anion corrections (eV per atom) = -1.27